#i
Here is an optimized crystal structure of NaLuCoAs from OQMD. Energies are from PBE.

```
16
Lattice="6.395 0.000 0.000 0.000 6.395 0.000 0.000 0.000 6.395" Properties=species:S:1:pos:R:3 pbc="T T T"
Na 0.000 0.000 0.000
Na 0.000 3.198 3.198
Na 3.198 0.000 3.198
Na 3.198 3.198 0.000
Lu 1.599 1.599 1.599
Lu 1.599 4.796 4.796
Lu 4.796 1.599 4.796
Lu 4.796 4.796 1.599
Co 0.000 0.000 3.198
Co 0.000 3.198 0.000
Co 3.198 0.000 0.000
Co 3.198 3.198 3.198
As 1.599 1.599 4.796
As 1.599 4.796 1.599
As 4.796 1.599 1.599
As 4.796 4.796 4.796
```



#ii
Here is an optimized crystal structure of NaLuCoAs from OQMD. Energies are from PBE.

```
16
Lattice="6.705 0.000 0.000 0.000 6.705 0.000 0.000 0.000 6.705" Properties=species:S:1:pos:R:3 pbc="T T T"
Na 0.000 0.000 0.000
Na 0.000 3.352 3.352
Na 3.352 0.000 3.352
Na 3.352 3.352 0.000
Lu 0.000 0.000 3.352
Lu 0.000 3.352 0.000
Lu 3.352 0.000 0.000
Lu 3.352 3.352 3.352
Co 1.676 1.676 5.029
Co 1.676 5.029 1.676
Co 5.029 1.676 1.676
Co 5.029 5.029 5.029
As 1.676 1.676 1.676
As 1.676 5.029 5.029
As 5.029 1.676 5.029
As 5.029 5.029 1.676
```



Relative energies, unit kJ/mol of atoms: #i 0.0; #ii 2.8



#i
Here is an optimized crystal structure of LuCoNiAs from OQMD. Energies are from PBE.

```
16
Lattice="6.301 0.000 0.000 0.000 6.301 0.000 0.000 0.000 6.301" Properties=species:S:1:pos:R:3 pbc="T T T"
Lu 0.000 0.000 0.000
Lu 0.000 3.150 3.150
Lu 3.150 0.000 3.150
Lu 3.150 3.150 0.000
Co 1.575 1.575 4.725
Co 1.575 4.725 1.575
Co 4.725 1.575 1.575
Co 4.725 4.725 4.725
Ni 0.000 0.000 3.150
Ni 0.000 3.150 0.000
Ni 3.150 0.000 0.000
Ni 3.150 3.150 3.150
As 1.575 1.575 1.575
As 1.575 4.725 4.725
As 4.725 1.575 4.725
As 4.725 4.725 1.575
```



#ii
Here is an optimized crystal structure of LuCoNiAs from OQMD. Energies are from PBE.

```
16
Lattice="6.147 0.000 0.000 0.000 6.147 0.000 0.000 0.000 6.147" Properties=species:S:1:pos:R:3 pbc="T T T"
Lu 0.000 0.000 0.000
Lu 0.000 3.074 3.074
Lu 3.074 0.000 3.074
Lu 3.074 3.074 0.000
Co 1.537 1.537 4.610
Co 1.537 4.610 1.537
Co 4.610 1.537 1.537
Co 4.610 4.610 4.610
Ni 1.537 1.537 1.537
Ni 1.537 4.610 4.610
Ni 4.610 1.537 4.610
Ni 4.610 4.610 1.537
As 0.000 0.000 3.074
As 0.000 3.074 0.000
As 3.074 0.000 0.000
As 3.074 3.074 3.074
```



Relative energies, unit kJ/mol of atoms: #i 21.7; #ii 0.0



#i
Here is an optimized crystal structure of LuCoReAs from OQMD. Energies are from PBE.

```
16
Lattice="6.279 0.000 0.000 0.000 6.279 0.000 0.000 0.000 6.279" Properties=species:S:1:pos:R:3 pbc="T T T"
Lu 0.000 0.000 0.000
Lu 0.000 3.140 3.140
Lu 3.140 0.000 3.140
Lu 3.140 3.140 0.000
Co 1.570 1.570 4.709
Co 1.570 4.709 1.570
Co 4.709 1.570 1.570
Co 4.709 4.709 4.709
Re 1.570 1.570 1.570
Re 1.570 4.709 4.709
Re 4.709 1.570 4.709
Re 4.709 4.709 1.570
As 0.000 0.000 3.140
As 0.000 3.140 0.000
As 3.140 0.000 0.000
As 3.140 3.140 3.140
```



#ii
Here is an optimized crystal structure of LuCoReAs from OQMD. Energies are from PBE.

```
16
Lattice="6.483 0.000 0.000 0.000 6.483 0.000 0.000 0.000 6.483" Properties=species:S:1:pos:R:3 pbc="T T T"
Lu 0.000 0.000 0.000
Lu 0.000 3.242 3.242
Lu 3.242 0.000 3.242
Lu 3.242 3.242 0.000
Co 0.000 0.000 3.242
Co 0.000 3.242 0.000
Co 3.242 0.000 0.000
Co 3.242 3.242 3.242
Re 1.621 1.621 4.862
Re 1.621 4.862 1.621
Re 4.862 1.621 1.621
Re 4.862 4.862 4.862
As 1.621 1.621 1.621
As 1.621 4.862 4.862
As 4.862 1.621 4.862
As 4.862 4.862 1.621
```



Relative energies, unit kJ/mol of atoms: #i 0.0; #ii 26.9



#i
Here is an optimized crystal structure of LuZnCoAs from OQMD. Energies are from PBE.

```
16
Lattice="6.418 0.000 0.000 0.000 6.418 0.000 0.000 0.000 6.418" Properties=species:S:1:pos:R:3 pbc="T T T"
Lu 0.000 0.000 0.000
Lu 0.000 3.209 3.209
Lu 3.209 0.000 3.209
Lu 3.209 3.209 0.000
Zn 1.605 1.605 4.814
Zn 1.605 4.814 1.605
Zn 4.814 1.605 1.605
Zn 4.814 4.814 4.814
Co 0.000 0.000 3.209
Co 0.000 3.209 0.000
Co 3.209 0.000 0.000
Co 3.209 3.209 3.209
As 1.605 1.605 1.605
As 1.605 4.814 4.814
As 4.814 1.605 4.814
As 4.814 4.814 1.605
```



#ii
Here is an optimized crystal structure of LuZnCoAs from OQMD. Energies are from PBE.

```
16
Lattice="6.387 0.000 0.000 0.000 6.387 0.000 0.000 0.000 6.387" Properties=species:S:1:pos:R:3 pbc="T T T"
Lu 0.000 0.000 0.000
Lu 0.000 3.194 3.194
Lu 3.194 0.000 3.194
Lu 3.194 3.194 0.000
Zn 1.597 1.597 1.597
Zn 1.597 4.790 4.790
Zn 4.790 1.597 4.790
Zn 4.790 4.790 1.597
Co 1.597 1.597 4.790
Co 1.597 4.790 1.597
Co 4.790 1.597 1.597
Co 4.790 4.790 4.790
As 0.000 0.000 3.194
As 0.000 3.194 0.000
As 3.194 0.000 0.000
As 3.194 3.194 3.194
```



Relative energies, unit kJ/mol of atoms: #i 0.0; #ii 7.9



#i
Here is an optimized crystal structure of MgNbCoAs from OQMD. Energies are from PBE.

```
16
Lattice="6.218 0.000 0.000 0.000 6.218 0.000 0.000 0.000 6.218" Properties=species:S:1:pos:R:3 pbc="T T T"
Mg 0.000 0.000 0.000
Mg 0.000 3.109 3.109
Mg 3.109 0.000 3.109
Mg 3.109 3.109 0.000
Nb 1.554 1.554 1.554
Nb 1.554 4.663 4.663
Nb 4.663 1.554 4.663
Nb 4.663 4.663 1.554
Co 1.554 1.554 4.663
Co 1.554 4.663 1.554
Co 4.663 1.554 1.554
Co 4.663 4.663 4.663
As 0.000 0.000 3.109
As 0.000 3.109 0.000
As 3.109 0.000 0.000
As 3.109 3.109 3.109
```



#ii
Here is an optimized crystal structure of MgNbCoAs from OQMD. Energies are from PBE.

```
16
Lattice="6.305 0.000 0.000 0.000 6.305 0.000 0.000 0.000 6.305" Properties=species:S:1:pos:R:3 pbc="T T T"
Mg 0.000 0.000 0.000
Mg 0.000 3.153 3.153
Mg 3.153 0.000 3.153
Mg 3.153 3.153 0.000
Nb 1.576 1.576 4.729
Nb 1.576 4.729 1.576
Nb 4.729 1.576 1.576
Nb 4.729 4.729 4.729
Co 0.000 0.000 3.153
Co 0.000 3.153 0.000
Co 3.153 0.000 0.000
Co 3.153 3.153 3.153
As 1.576 1.576 1.576
As 1.576 4.729 4.729
As 4.729 1.576 4.729
As 4.729 4.729 1.576
```



Relative energies, unit kJ/mol of atoms: #i 0.0; #ii 12.8



#i
Here is an optimized crystal structure of MgCo6As3P from OQMD. Energies are from PBE.

```
11
Lattice="6.760 0.000 0.000 -3.380 5.854 0.000 0.000 0.000 3.454" Properties=species:S:1:pos:R:3 pbc="T T T"
Mg 0.000 0.000 0.000
Co 0.000 2.404 1.727
Co -1.298 4.652 1.727
Co 3.380 0.357 0.000
Co 1.999 2.749 0.000
Co 1.298 4.652 1.727
Co 4.761 2.749 0.000
As 1.877 1.084 1.727
As 4.883 1.084 1.727
As 3.380 3.687 1.727
P 0.000 3.903 0.000
```



#ii
Here is an optimized crystal structure of MgCo6As3P from OQMD. Energies are from PBE.

```
11
Lattice="3.442 0.000 0.000 0.000 3.390 5.892 0.000 -3.390 5.892" Properties=species:S:1:pos:R:3 pbc="T T T"
Mg 0.000 0.000 0.000
Co 0.000 0.000 6.397
Co 0.000 -1.266 8.793
Co 0.000 1.266 8.793
Co 1.721 -1.439 4.788
Co 1.721 0.000 2.470
Co 1.721 1.439 4.788
As 0.000 0.000 4.036
As 1.721 -1.509 7.086
As 1.721 1.509 7.086
P 1.721 0.000 9.664
```



Relative energies, unit kJ/mol of atoms: #i 0.0; #ii 2.9



#i
Here is an optimized crystal structure of MgZnCoAs from OQMD. Energies are from PBE.

```
16
Lattice="6.187 0.000 0.000 0.000 6.187 0.000 0.000 0.000 6.187" Properties=species:S:1:pos:R:3 pbc="T T T"
Mg 0.000 0.000 0.000
Mg 0.000 3.094 3.094
Mg 3.094 0.000 3.094
Mg 3.094 3.094 0.000
Zn 1.547 1.547 1.547
Zn 1.547 4.641 4.641
Zn 4.641 1.547 4.641
Zn 4.641 4.641 1.547
Co 1.547 1.547 4.641
Co 1.547 4.641 1.547
Co 4.641 1.547 1.547
Co 4.641 4.641 4.641
As 0.000 0.000 3.094
As 0.000 3.094 0.000
As 3.094 0.000 0.000
As 3.094 3.094 3.094
```



#ii
Here is an optimized crystal structure of MgZnCoAs from OQMD. Energies are from PBE.

```
16
Lattice="6.159 0.000 0.000 0.000 6.159 0.000 0.000 0.000 6.159" Properties=species:S:1:pos:R:3 pbc="T T T"
Mg 0.000 0.000 0.000
Mg 0.000 3.079 3.079
Mg 3.079 0.000 3.079
Mg 3.079 3.079 0.000
Zn 1.540 1.540 4.619
Zn 1.540 4.619 1.540
Zn 4.619 1.540 1.540
Zn 4.619 4.619 4.619
Co 0.000 0.000 3.079
Co 0.000 3.079 0.000
Co 3.079 0.000 0.000
Co 3.079 3.079 3.079
As 1.540 1.540 1.540
As 1.540 4.619 4.619
As 4.619 1.540 4.619
As 4.619 4.619 1.540
```



Relative energies, unit kJ/mol of atoms: #i 10.7; #ii 0.0



#i
Here is an optimized crystal structure of YCoMoAs from OQMD. Energies are from PBE.

```
16
Lattice="6.575 0.000 0.000 0.000 6.575 0.000 0.000 0.000 6.575" Properties=species:S:1:pos:R:3 pbc="T T T"
Y 0.000 0.000 0.000
Y 0.000 3.288 3.288
Y 3.288 0.000 3.288
Y 3.288 3.288 0.000
Co 0.000 0.000 3.288
Co 0.000 3.288 0.000
Co 3.288 0.000 0.000
Co 3.288 3.288 3.288
Mo 1.644 1.644 4.931
Mo 1.644 4.931 1.644
Mo 4.931 1.644 1.644
Mo 4.931 4.931 4.931
As 1.644 1.644 1.644
As 1.644 4.931 4.931
As 4.931 1.644 4.931
As 4.931 4.931 1.644
```



#ii
Here is an optimized crystal structure of YCoMoAs from OQMD. Energies are from PBE.

```
16
Lattice="6.371 0.000 0.000 0.000 6.371 0.000 0.000 0.000 6.371" Properties=species:S:1:pos:R:3 pbc="T T T"
Y 0.000 0.000 0.000
Y 0.000 3.186 3.186
Y 3.186 0.000 3.186
Y 3.186 3.186 0.000
Co 1.593 1.593 4.779
Co 1.593 4.779 1.593
Co 4.779 1.593 1.593
Co 4.779 4.779 4.779
Mo 1.593 1.593 1.593
Mo 1.593 4.779 4.779
Mo 4.779 1.593 4.779
Mo 4.779 4.779 1.593
As 0.000 0.000 3.186
As 0.000 3.186 0.000
As 3.186 0.000 0.000
As 3.186 3.186 3.186
```



Relative energies, unit kJ/mol of atoms: #i 20.2; #ii 0.0